First-principles (PBE-GGA) data for a relaxed structure of BaNaSmPb, as listed in Alexandria. Values from VASP.

Computed properties:
Electronic total energy: -3.110 eV per atom
DFT formation energy: -0.19 eV/atom
N(E_F): 0.8617 states/eV per atom
Crystal system: cubic
Volume: 140.2 Å³ per cell

Structure (Quantum ESPRESSO input):
```
&SYSTEM
  ibrav = 0, nat = 4, ntyp = 4
/
ATOMIC_SPECIES
Pb 207.20 Pb.upf
Na 22.99 Na.upf
Ba 137.33 Ba.upf
Sm 150.36 Sm.upf
CELL_PARAMETERS angstrom
5.831 0.000 0.000
2.915 5.050 0.000
2.915 1.683 4.761
ATOMIC_POSITIONS crystal
Pb 0.000 0.000 0.000
Na 0.500 0.500 0.500
Ba 0.250 0.250 0.250
Sm 0.750 0.750 0.750
```